Density functional theory data (PBE with a Hubbard U) for a relaxed structure of BaMn2TeF.

CIF file:
```
data_BaMn2TeF
_symmetry_space_group_name_H-M 'P 4/m m m'
_symmetry_Int_Tables_number 123
_symmetry_space_group_name_Hall '-P 4 2'
_cell_length_a 6.4254
_cell_length_b 6.4254
_cell_length_c 4.7408
_cell_angle_alpha 90.00
_cell_angle_beta 90.00
_cell_angle_gamma 90.00
loop_
_atom_site_label
_atom_site_fract_x
_atom_site_fract_y
_atom_site_fract_z
Ba1 0.0000 0.0000 0.0000
Mn1 0.0000 0.5000 0.0000
Te1 0.5000 0.5000 0.5000
F1 0.0000 0.0000 0.5000
```

E	-22.20	eV/f.u.
density of states at the Fermi level	3.29	states/eV/f.u.